An optimized crystal structure of Cs4Rb2Fe2O5, computed with GGA+U.

Lattice parameters (Å, degrees): 7.2176 7.2176 7.3038 91.66 91.66 118.55
Closest atoms and distances in Å follow each position.
Fractional positions:
Cs 0.2432 0.7568 0.0000  5 O 3.02-3.22
Cs 0.3398 0.3398 0.6851  5 O 3.18-3.50, 1 Fe 3.50
Cs 0.6602 0.6602 0.3149  5 O 3.18-3.50, 1 Fe 3.50
Cs 0.7568 0.2432 0.0000  5 O 3.02-3.22
Rb 0.2204 0.7796 0.5000  4 O 2.80-2.94
Rb 0.7796 0.2204 0.5000  4 O 2.80-2.94
Fe 0.1939 0.1939 0.1937  3 O 1.91-1.95
Fe 0.8061 0.8061 0.8063  3 O 1.91-1.95
O 0.0000 0.0000 0.0000  2 Fe 1.95
O 0.1585 0.4240 0.2862  1 Fe 1.91
O 0.4240 0.1585 0.2862  1 Fe 1.91
O 0.5760 0.8415 0.7138  1 Fe 1.91
O 0.8415 0.5760 0.7138  1 Fe 1.91

Results
E: -4.426 eV per atom
Magnetic moment: 8.0 μB per cell
SG: C2/m, No. 12